#one
## Rb2TlHg9 (PBE)

Data for Rb2TlHg9 after structural relaxation.

Cell: 6.758 6.758 19.490 Å, 90.00 90.00 120.00°
Atoms (fractional coordinates):
Rb 0.333 0.667 0.544
Tl 0.333 0.667 0.750
Hg 0.657 0.829 0.124
Rb 0.333 0.667 0.956
Hg 0.829 0.171 0.624
Tl 0.667 0.333 0.250
Hg 0.171 0.343 0.124
Hg 0.667 0.333 0.750
Hg 0.657 0.829 0.376
Hg 0.333 0.667 0.250
Rb 0.667 0.333 0.456
Hg 0.343 0.171 0.624
Hg 0.000 0.000 0.750
Hg 0.829 0.171 0.876
Hg 0.171 0.343 0.376
Hg 0.000 0.000 0.000
Rb 0.667 0.333 0.044
Hg 0.343 0.171 0.876
Hg 0.171 0.829 0.124
Hg 0.829 0.657 0.876
Hg 0.171 0.829 0.376
Hg 0.000 0.000 0.500
Hg 0.829 0.657 0.624
Hg 0.000 0.000 0.250

Values from the calculation:
Its space-group type is P6_3/mmc (194). Its crystal system is hexagonal.



#two
## Rb2TlHg9 (PBE)

Data for Rb2TlHg9 after structural relaxation.

Cell: 6.547 6.547 10.974 Å, 72.65 72.65 60.00°
Atoms (fractional coordinates):
Hg 0.335 0.335 0.994
Hg 0.413 0.413 0.247
Hg 0.927 0.413 0.247
Tl 0.000 0.000 0.000
Hg 0.073 0.587 0.753
Rb 0.861 0.861 0.417
Rb 0.139 0.139 0.583
Hg 0.500 0.500 0.500
Hg 0.665 0.665 0.006
Hg 0.587 0.587 0.753
Hg 0.587 0.073 0.753
Hg 0.413 0.927 0.247

Values from the calculation:
Its space-group type is R-3m (166). Its crystal system is trigonal.



Of them, #two has the highest stability.



#one
## RbTl2Hg7 (PBE)

Data for RbTl2Hg7 after structural relaxation.

Cell: 5.311 10.649 8.433 Å, 129.15 90.00 90.00°
Atoms (fractional coordinates):
Hg 0.000 0.630 0.260
Hg 0.500 0.126 0.766
Hg 0.000 0.370 0.740
Rb 0.000 0.000 0.000
Tl 0.500 0.245 0.489
Hg 0.500 0.640 0.766
Hg 0.500 0.360 0.234
Hg 0.500 0.500 0.000
Tl 0.500 0.755 0.511
Hg 0.500 0.874 0.234

Values from the calculation:
Its space-group type is Cmmm (65). Its crystal system is orthorhombic.



#two
## RbTl2Hg7 (PBE)

Data for RbTl2Hg7 after structural relaxation.

Cell: 3.536 6.352 14.058 Å, 103.06 90.00 90.00°
Atoms (fractional coordinates):
Hg 0.500 0.850 0.209
Hg 0.000 0.812 0.624
Tl 0.500 0.287 0.574
Hg 0.500 0.358 0.209
Rb 0.000 0.000 0.000
Hg 0.500 0.150 0.791
Hg 0.500 0.500 0.000
Hg 0.500 0.642 0.791
Tl 0.500 0.713 0.426
Hg 0.000 0.188 0.376

Values from the calculation:
Its space-group type is Cmmm (65). Its crystal system is orthorhombic.



Of them, #two has the highest stability.



#one
## RbVHg3 (PBE)

Data for RbVHg3 after structural relaxation.

Cell: 6.464 6.464 6.464 Å, 90.00 90.00 90.00°
Atoms (fractional coordinates):
Rb 0.000 0.000 0.000
Hg 0.500 0.000 0.000
Hg 0.000 0.500 0.000
V 0.500 0.500 0.500
Hg 0.000 0.000 0.500

Values from the calculation:
Its space-group type is Pm-3m (221). Its crystal system is cubic.



#two
## RbVHg3 (PBE)

Data for RbVHg3 after structural relaxation.

Cell: 5.485 5.485 5.485 Å, 90.00 90.00 90.00°
Atoms (fractional coordinates):
Hg 0.000 0.500 0.000
V 0.000 0.000 0.000
Rb 0.500 0.500 0.500
Hg 0.000 0.000 0.500
Hg 0.500 0.000 0.000

Values from the calculation:
Its space-group type is Pm-3m (221). Its crystal system is cubic.



Of them, #two has the highest stability.



#one
## RbHg2W (PBE)

Data for RbHg2W after structural relaxation.

Cell: 5.893 5.893 10.123 Å, 73.08 73.08 90.00°
Atoms (fractional coordinates):
Hg 0.875 0.071 0.750
Hg 0.929 0.625 0.250
W 0.750 0.250 0.500
Hg 0.821 0.125 0.250
W 0.000 0.000 0.000
Hg 0.375 0.179 0.750
Rb 0.250 0.750 0.500
Rb 0.500 0.500 0.000

Values from the calculation:
Its space-group type is I-42d (122). Its crystal system is tetragonal.



#two
## RbHg2W (PBE)

Data for RbHg2W after structural relaxation.

Cell: 5.316 5.316 5.316 Å, 60.00 60.00 60.00°
Atoms (fractional coordinates):
Rb 0.000 0.000 0.000
Hg 0.250 0.250 0.250
Hg 0.750 0.750 0.750
W 0.500 0.500 0.500

Values from the calculation:
Its space-group type is Fm-3m (225). Its crystal system is cubic.



Of them, #one has the highest stability.



#one
## RbYHg3 (PBE)

Data for RbYHg3 after structural relaxation.

Cell: 5.947 5.947 5.947 Å, 90.00 90.00 90.00°
Atoms (fractional coordinates):
Hg 0.500 0.000 0.000
Hg 0.000 0.500 0.000
Rb 0.500 0.500 0.500
Y 0.000 0.000 0.000
Hg 0.000 0.000 0.500

Values from the calculation:
Its space-group type is Pm-3m (221). Its crystal system is cubic.



#two
## RbYHg3 (PBE)

Data for RbYHg3 after structural relaxation.

Cell: 5.961 5.961 5.961 Å, 90.00 90.00 90.00°
Atoms (fractional coordinates):
Hg 0.000 0.000 0.500
Y 0.500 0.500 0.500
Hg 0.000 0.500 0.000
Rb 0.000 0.000 0.000
Hg 0.500 0.000 0.000

Values from the calculation:
Its space-group type is Pm-3m (221). Its crystal system is cubic.



Of them, #one has the highest stability.



#one
## Rb3YHg (PBE)

Data for Rb3YHg after structural relaxation.

Cell: 7.689 7.689 7.689 Å, 90.00 90.00 90.00°
Atoms (fractional coordinates):
Rb 0.000 0.000 0.500
Rb 0.500 0.000 0.000
Rb 0.000 0.500 0.000
Y 0.000 0.000 0.000
Hg 0.500 0.500 0.500

Values from the calculation:
Its space-group type is Pm-3m (221). Its crystal system is cubic.



#two
## Rb3YHg (PBE)

Data for Rb3YHg after structural relaxation.

Cell: 6.813 6.813 6.813 Å, 90.00 90.00 90.00°
Atoms (fractional coordinates):
Rb 0.500 0.000 0.000
Rb 0.000 0.000 0.500
Hg 0.000 0.000 0.000
Rb 0.000 0.500 0.000
Y 0.500 0.500 0.500

Values from the calculation:
Its space-group type is Pm-3m (221). Its crystal system is cubic.



Of them, #two has the highest stability.



#one
## RbZn2Hg2 (PBE)

Data for RbZn2Hg2 after structural relaxation.

Cell: 5.025 5.025 6.589 Å, 67.58 67.58 90.00°
Atoms (fractional coordinates):
Hg 0.362 0.362 0.275
Zn 0.750 0.250 0.500
Hg 0.638 0.638 0.725
Rb 0.000 0.000 0.000
Zn 0.250 0.750 0.500

Values from the calculation:
Its space-group type is I4/mmm (139). Its crystal system is tetragonal.



#two
## RbZn2Hg2 (PBE)

Data for RbZn2Hg2 after structural relaxation.

Cell: 8.867 8.867 3.391 Å, 90.00 90.00 90.00°
Atoms (fractional coordinates):
Hg 0.860 0.640 0.000
Zn 0.147 0.647 0.500
Zn 0.647 0.853 0.500
Zn 0.853 0.353 0.500
Hg 0.640 0.140 0.000
Rb 0.000 0.000 0.000
Hg 0.360 0.860 0.000
Zn 0.353 0.147 0.500
Hg 0.140 0.360 0.000
Rb 0.500 0.500 0.000

Values from the calculation:
Its space-group type is P4/mbm (127). Its crystal system is tetragonal.



Of them, #one has the highest stability.



#one
## RbZn2Hg2 (PBE)

Data for RbZn2Hg2 after structural relaxation.

Cell: 5.126 5.126 6.357 Å, 66.23 66.23 90.00°
Atoms (fractional coordinates):
Zn 0.374 0.374 0.252
Rb 0.000 0.000 0.000
Zn 0.626 0.626 0.748
Hg 0.250 0.750 0.500
Hg 0.750 0.250 0.500

Values from the calculation:
Its space-group type is I4/mmm (139). Its crystal system is tetragonal.



#two
## RbZn2Hg2 (PBE)

Data for RbZn2Hg2 after structural relaxation.

Cell: 8.685 8.685 3.547 Å, 90.00 90.00 90.00°
Atoms (fractional coordinates):
Zn 0.391 0.891 0.000
Hg 0.323 0.177 0.500
Hg 0.677 0.823 0.500
Zn 0.891 0.609 0.000
Rb 0.500 0.500 0.000
Rb 0.000 0.000 0.000
Hg 0.823 0.323 0.500
Zn 0.109 0.391 0.000
Zn 0.609 0.109 0.000
Hg 0.177 0.677 0.500

Values from the calculation:
Its space-group type is P4/mbm (127). Its crystal system is tetragonal.



Of them, #one has the highest stability.



#one
## RbZnHg3 (PBE)

Data for RbZnHg3 after structural relaxation.

Cell: 5.452 5.452 5.452 Å, 90.00 90.00 90.00°
Atoms (fractional coordinates):
Zn 0.000 0.000 0.000
Hg 0.000 0.000 0.500
Hg 0.000 0.500 0.000
Hg 0.500 0.000 0.000
Rb 0.500 0.500 0.500

Values from the calculation:
Its space-group type is Pm-3m (221). Its crystal system is cubic.



#two
## RbZnHg3 (PBE)

Data for RbZnHg3 after structural relaxation.

Cell: 7.097 7.097 7.097 Å, 90.00 90.00 90.00°
Atoms (fractional coordinates):
Hg 0.000 0.000 0.500
Hg 0.000 0.500 0.000
Rb 0.000 0.000 0.000
Zn 0.500 0.500 0.500
Hg 0.500 0.000 0.000

Values from the calculation:
Its space-group type is Pm-3m (221). Its crystal system is cubic.



Of them, #one has the highest stability.



#one
## Rb2ZrHg2 (PBE)

Data for Rb2ZrHg2 after structural relaxation.

Cell: 4.603 4.603 8.621 Å, 74.52 74.52 90.00°
Atoms (fractional coordinates):
Rb 0.250 0.750 0.500
Hg 0.586 0.586 0.828
Rb 0.750 0.250 0.500
Zr 0.000 0.000 0.000
Hg 0.414 0.414 0.172

Values from the calculation:
Its space-group type is I4/mmm (139). Its crystal system is tetragonal.



#two
## Rb2ZrHg2 (PBE)

Data for Rb2ZrHg2 after structural relaxation.

Cell: 7.662 7.662 6.261 Å, 90.00 90.00 90.00°
Atoms (fractional coordinates):
Rb 0.824 0.324 0.500
Hg 0.859 0.641 0.000
Hg 0.359 0.859 0.000
Zr 0.000 0.000 0.000
Rb 0.324 0.176 0.500
Rb 0.176 0.676 0.500
Zr 0.500 0.500 0.000
Rb 0.676 0.824 0.500
Hg 0.141 0.359 0.000
Hg 0.641 0.141 0.000

Values from the calculation:
Its space-group type is P4/mbm (127). Its crystal system is tetragonal.



Of them, #two has the highest stability.



#one
## ReHg4 (PBE)

Data for ReHg4 after structural relaxation.

Cell: 5.400 5.400 5.400 Å, 90.00 90.00 90.00°
Atoms (fractional coordinates):
Hg 0.000 0.500 0.500
Hg 0.000 0.000 0.000
Hg 0.500 0.500 0.000
Re 0.500 0.500 0.500
Hg 0.500 0.000 0.500

Values from the calculation:
Its space-group type is Pm-3m (221). Its crystal system is cubic.



#two
## ReHg4 (PBE)

Data for ReHg4 after structural relaxation.

Cell: 8.506 8.506 8.506 Å, 153.79 153.79 37.40°
Atoms (fractional coordinates):
Hg 0.412 0.412 0.000
Re 0.000 0.000 0.000
Hg 0.750 0.250 0.500
Hg 0.588 0.588 0.000
Hg 0.250 0.750 0.500

Values from the calculation:
Its space-group type is I4/mmm (139). Its crystal system is tetragonal.



Of them, #one has the highest stability.



#one
## Re5Hg4 (PBE)

Data for Re5Hg4 after structural relaxation.

Cell: 8.083 8.083 5.500 Å, 90.00 90.00 60.00°
Atoms (fractional coordinates):
Re 0.315 0.000 0.750
Re 0.333 0.333 0.500
Hg 0.644 0.000 0.750
Re 0.667 0.667 0.500
Hg 0.644 0.356 0.250
Re 0.667 0.667 0.000
Re 0.000 0.315 0.250
Re 0.000 0.685 0.750
Re 0.333 0.333 0.000
Re 0.685 0.315 0.750
Hg 0.356 0.644 0.750
Re 0.685 0.000 0.250
Re 0.315 0.685 0.250
Hg 0.000 0.000 0.000
Hg 0.356 0.000 0.250
Hg 0.000 0.356 0.750
Hg 0.000 0.000 0.500
Hg 0.000 0.644 0.250

Values from the calculation:
Its space-group type is P6_3/mcm (193). Its crystal system is hexagonal.



#two
## Re5Hg4 (PBE)

Data for Re5Hg4 after structural relaxation.

Cell: 6.560 6.560 6.560 Å, 95.80 95.80 142.92°
Atoms (fractional coordinates):
Re 0.356 0.644 0.000
Re 0.356 0.356 0.712
Re 0.000 0.000 0.000
Re 0.644 0.644 0.288
Re 0.644 0.356 0.000
Hg 0.677 0.000 0.677
Hg 0.000 0.323 0.323
Hg 0.323 0.000 0.323
Hg 0.000 0.677 0.677

Values from the calculation:
Its space-group type is I4/mmm (139). Its crystal system is tetragonal.



Of them, #two has the highest stability.